(1)
A geometry-optimized Ce2PrIrN4 structure, computed with PBE.

The space group is Cmcm (No. 63) and the conventional cell measures 3.4293, 12.0223 and 11.8926 Å, with angles of 90.00, 90.00 and 90.00 degrees. The inequivalent atoms are Ce at (0.0000, 0.1303, 0.0512), Pr at (0.0000, 0.3913, 0.2500), Ir at (0.0000, 0.3472, 0.7500), N at (0.0000, 0.0490, 0.2500), N at (0.0000, 0.2270, 0.6211) and N at (0.0000, 0.5000, 0.0000).

The energy relative to the elements, uncorrected is -0.99 eV/atom. The value obtained for the magnetization is 0.0 μB per formula unit.


(2)
A geometry-optimized Ba2SrCaIr structure, computed with PBE.

The space group is P4/mmm (No. 123) and the conventional cell measures 6.2352, 6.2352 and 5.7529 Å, with angles of 90.00, 90.00 and 90.00 degrees. The inequivalent atoms are Ba at (0.0000, 0.5000, 0.0000), Sr at (0.0000, 0.0000, 0.5000), Ca at (0.5000, 0.5000, 0.5000) and Ir at (0.5000, 0.5000, 0.0000).

The value obtained for the magnetization is 0.0 μB per formula unit. The distance to the lowest polymorph of the same formula comes out at 0.000 eV/atom. The value obtained for the formation energy is -8.2 kJ/mol of atoms.


(3)
A geometry-optimized CaAc2Ga3Rh4 structure, computed with PBE.

The space group is P-4m2 (No. 115) and the conventional cell measures 4.3850, 4.3850 and 11.0058 Å, with angles of 90.00, 90.00 and 90.00 degrees. The inequivalent atoms are Ca at (0.0000, 0.0000, 0.0000), Ac at (0.0000, 0.5000, 0.7285), Ga at (0.0000, 0.5000, 0.3884), Ga at (0.5000, 0.5000, 0.0000), Rh at (0.0000, 0.0000, 0.5000), Rh at (0.0000, 0.5000, 0.1558) and Rh at (0.5000, 0.5000, 0.5000).

The value obtained for the magnetization is 0.0 μB per formula unit. The value obtained for the formation energy is -70.1 kJ/mol of atoms.


(4)
A geometry-optimized LiPuScO5 structure, computed with PBE.

The space group is C2/c (No. 15) and the conventional cell measures 6.5117, 9.0389 and 7.6446 Å, with angles of 90.00, 113.88 and 90.00 degrees. The inequivalent atoms are Li at (0.0000, 0.1890, 0.2500), Pu at (0.0000, 0.5000, 0.0000), Sc at (0.0000, 0.1325, 0.7500), O at (0.0000, 0.3718, 0.7500), O at (0.1481, 0.3259, 0.1560) and O at (0.1671, 0.0428, 0.4329).

The energy relative to the elements, uncorrected is -2.64 eV/atom. The value obtained for the magnetization is 2.0 μB per formula unit.


(5)
A geometry-optimized KRuAu2 structure, computed with PBE.

The space group is Immm (No. 71) and the conventional cell measures 2.7543, 5.6450 and 11.2771 Å, with angles of 90.00, 90.00 and 90.00 degrees. The inequivalent atoms are K at (0.0000, 0.0000, 0.0000), Ru at (0.0000, 0.0000, 0.5000) and Au at (0.0000, 0.5000, 0.2081).

The value obtained for the magnetization is 1.0 μB per formula unit. The distance to the lowest polymorph of the same formula comes out at 0.263 eV/atom. The value obtained for the formation energy is 56.1 kJ/mol of atoms.


(6)
A geometry-optimized Li8Cd3Hg2 structure, computed with PBE.

The space group is Cmmm (No. 65) and the conventional cell measures 7.3370, 14.7526 and 4.7552 Å, with angles of 90.00, 90.00 and 90.00 degrees. The inequivalent atoms are Li at (0.0000, 0.1159, 0.0000), Li at (0.0000, 0.3183, 0.0000), Li at (0.1929, 0.3872, 0.5000), Cd at (0.0000, 0.0000, 0.5000), Cd at (0.1941, 0.5000, 0.0000) and Hg at (0.0000, 0.2213, 0.5000).

The value obtained for the magnetization is 0.0 μB per formula unit. The value obtained for the formation energy is -18.7 kJ/mol of atoms.


(7)
A geometry-optimized MgNi3Os structure, computed with PBE.

The space group is Pm-3m (No. 221) and the conventional cell measures 4.5199, 4.5199 and 4.5199 Å, with angles of 90.00, 90.00 and 90.00 degrees. The inequivalent atoms are Mg at (0.0000, 0.0000, 0.0000), Ni at (0.0000, 0.5000, 0.5000) and Os at (0.5000, 0.5000, 0.5000).

The value obtained for the magnetization is 0.0 μB per formula unit. The distance to the lowest polymorph of the same formula comes out at 0.000 eV/atom. The value obtained for the formation energy is 97.3 kJ/mol of atoms.


(8)
A geometry-optimized MgZn3 structure, computed with PBE.

The space group is P4/mmm (No. 123) and the conventional cell measures 2.9668, 2.9668 and 7.5096 Å, with angles of 90.00, 90.00 and 90.00 degrees. The inequivalent atoms are Mg at (0.0000, 0.0000, 0.0000), Zn at (0.0000, 0.0000, 0.5000) and Zn at (0.5000, 0.5000, 0.2703).

The value obtained for the magnetization is 0.0 μB per formula unit. The value obtained for the formation energy is -1.2 kJ/mol of atoms.


(9)
A geometry-optimized Ta5Te structure, computed with PBE.

The space group is Cmmm (No. 65) and the conventional cell measures 3.5120, 13.8358 and 4.6168 Å, with angles of 90.00, 90.00 and 90.00 degrees. The inequivalent atoms are Ta at (0.0000, 0.0000, 0.0000), Ta at (0.0000, 0.1699, 0.5000), Ta at (0.0000, 0.3337, 0.0000) and Te at (0.0000, 0.5000, 0.5000).

The energy relative to the elements, uncorrected is 0.08 eV/atom. The value obtained for the magnetization is 0.0 μB per formula unit. The distance to the lowest polymorph of the same formula comes out at 0.029 eV/atom.


(10)
A geometry-optimized Sr3Li7Mg2 structure, computed with PBE.

The space group is R-3m (No. 166, hexagonal axes) and the conventional cell measures 6.2688, 6.2688 and 30.7627 Å, with angles of 90.00, 90.00 and 120.00 degrees. The inequivalent atoms are Sr at (0.0000, 0.0000, 0.0000), Sr at (0.0000, 0.0000, 0.1398), Li at (0.0000, 0.0000, 0.5000), Li at (0.0009, 0.5004, 0.0801) and Mg at (0.0000, 0.0000, 0.3329).

The value obtained for the magnetization is 0.0 μB per formula unit. The value obtained for the formation energy is -1.7 kJ/mol of atoms.


(11)
A geometry-optimized RbTl3Se2O8 structure, computed with PBE.

The space group is P-3m1 (No. 164) and the conventional cell measures 6.2685, 6.2685 and 8.4979 Å, with angles of 90.00, 90.00 and 120.00 degrees. The inequivalent atoms are Rb at (0.0000, 0.0000, 0.0000), Tl at (0.0000, 0.0000, 0.5000), Tl at (0.3333, 0.6667, 0.2095), Se at (0.3333, 0.6667, 0.6973), O at (0.1876, 0.3751, 0.7648) and O at (0.3333, 0.6667, 0.5008).

The energy relative to the elements, uncorrected is -0.97 eV/atom. The value obtained for the magnetization is 0.0 μB per formula unit.


(12)
A geometry-optimized TaTiAlW structure, computed with PBE.

The space group is F-43m (No. 216) and the conventional cell measures 6.4200, 6.4200 and 6.4200 Å, with angles of 90.00, 90.00 and 90.00 degrees. The inequivalent atoms are Ta at (0.0000, 0.0000, 0.0000), Ti at (0.0000, 0.0000, 0.5000), Al at (0.2500, 0.2500, 0.2500) and W at (0.2500, 0.2500, 0.7500).

The value obtained for the magnetization is 0.0 μB per formula unit. The distance to the lowest polymorph of the same formula comes out at 0.051 eV/atom. The value obtained for the formation energy is -16.9 kJ/mol of atoms.


no.,total DFT energy (no corrections) (eV per atom)
1,-8.342
2,-3.363
3,-5.597
4,-8.563
5,-3.651
6,-1.629
7,-5.025
8,-1.367
9,-10.317
10,-1.820
11,-4.874
12,-9.286